1.
Computed, not measured: an optimized crystal structure of CdRe3Ag at the PBE level of DFT.

```
CdRe3Ag
1.0
4.7905 0.0000 0.0000
0.0000 4.7905 0.0000
0.0000 0.0000 4.7905
Cd Re Ag
1 3 1
Direct
0.0000 0.0000 0.0000
0.0000 0.5000 0.5000
0.5000 0.0000 0.5000
0.5000 0.5000 0.0000
0.5000 0.5000 0.5000
```

Computed properties:
As for the density of states at the Fermi level: 15.2 states/eV/f.u. The uncorrected energy comes out at -26.27 eV/cell. For the energy above the most stable polymorph in this dataset, the calculation gives 0.0 meV per atom. The formation energy is 2.968 eV per atom. Its symmetry is Pm-3m (221).


2.
Computed, not measured: an optimized crystal structure of CdReAg2 at the PBE level of DFT.

```
CdReAg2
1.0
4.8719 -1.3623 0.0000
4.8719 1.3623 0.0000
-0.6771 0.0000 5.2583
Cd Re Ag
1 1 2
Direct
0.0000 0.0000 0.0000
0.2519 0.2519 0.7604
0.5052 0.5052 0.5129
0.7523 0.7523 0.2663
```

Computed properties:
As for the density of states at the Fermi level: 2.7 states/eV/f.u. The uncorrected energy comes out at -16.82 eV/cell. The formation energy is 0.563 eV per atom. Its symmetry is Cm (8).


3.
Computed, not measured: an optimized crystal structure of CdReAg2 at the PBE level of DFT.

```
CdReAg2
1.0
4.0930 0.0000 0.0000
0.0000 4.0930 0.0000
0.0000 0.0000 4.1773
Cd Re Ag
1 1 2
Direct
0.0000 0.0000 0.0000
0.5000 0.5000 0.0000
0.0000 0.5000 0.5000
0.5000 0.0000 0.5000
```

Computed properties:
As for the density of states at the Fermi level: 2.3 states/eV/f.u. The uncorrected energy comes out at -16.10 eV/cell. The formation energy is 0.742 eV per atom. Its symmetry is P4/mmm (123).


4.
Computed, not measured: an optimized crystal structure of CdReAg2 at the PBE level of DFT.

```
CdReAg2
1.0
1.4271 0.8239 9.8426
-1.4271 0.8239 9.8426
0.0000 -1.6479 9.8426
Cd Re Ag
1 1 2
Direct
0.0000 0.0000 0.0000
0.5000 0.5000 0.5000
0.2471 0.2471 0.2471
0.7529 0.7529 0.7529
```

Computed properties:
As for the density of states at the Fermi level: 3.8 states/eV/f.u. The uncorrected energy comes out at -17.51 eV/cell. The formation energy is 0.389 eV per atom. Its symmetry is R-3m (166).